Record 1
DFT (GGA-PBE) results for a relaxed structure of YBe2Mo.

a b c (Å): 4.577 4.577 4.577
angles (deg): 125.53 125.52 80.67
Last column: magnetic moment on the atom in μB.
Fractional positions:
Y  0.250  0.750  0.500  -0.01
Be  0.000  0.000  0.000  -0.01
Be  0.500  0.500  0.000  -0.01
Mo  0.750  0.250  0.500  0.62

Summary:
ρ, g/cm³: 5.5
Formation enthalpy at 0 K, eV/atom: 0.304
Energy above the lowest structure with this stoichiometry, meV per atom: 243
Space group: No. 139

---

Record 2
DFT (GGA-PBE) results for a relaxed structure of VMo2C2.

a b c (Å): 3.681 3.681 4.987
angles (deg): 68.34 68.34 90.00
Last column: magnetic moment on the atom in μB.
Fractional positions:
Mo  0.750  0.250  0.500  -0.01
Mo  0.250  0.750  0.500  -0.01
C  0.412  0.412  0.175  0.00
C  0.588  0.588  0.825  0.00
V  0.000  0.000  0.000  0.43

Summary:
ρ, g/cm³: 7.7
Formation enthalpy at 0 K, eV/atom: 0.601
Energy above the lowest structure with this stoichiometry, meV per atom: 802
Space group: No. 139

---

Record 3
DFT (GGA-PBE) results for a relaxed structure of Pu2PaAu.

a b c (Å): 5.071 5.071 5.071
angles (deg): 60.00 60.00 60.00
Last column: magnetic moment on the atom in μB.
Fractional positions:
Pa  0.500  0.500  0.500  1.54
Au  0.000  0.000  0.000  0.02
Pu  0.250  0.250  0.250  5.44
Pu  0.750  0.750  0.750  5.44

Summary:
ρ, g/cm³: 16.5
Formation enthalpy at 0 K, eV/atom: -0.029
Energy above the lowest structure with this stoichiometry, meV per atom: 82
Space group: No. 225

---

Record 4
DFT (GGA-PBE) results for a relaxed structure of Zr2AgCl.

a b c (Å): 9.953 9.953 9.953
angles (deg): 19.39 19.39 19.39
Fractional positions:
Ag  0.511  0.511  0.511
Cl  0.731  0.731  0.731
Zr  0.003  0.003  0.003
Zr  0.254  0.254  0.254

Summary:
ρ, g/cm³: 5.7
Formation energy (no corrections), eV per atom: -0.499
Energy above the lowest structure with this stoichiometry, meV per atom: 0
Space group: No. 160

---

Record 5
DFT (GGA-PBE) results for a relaxed structure of Na2MnBr5.

a b c (Å): 5.874 7.464 12.909
angles (deg): 90.00 90.00 113.17
Last column: magnetic moment on the atom in μB.
Fractional positions:
Na  0.832  0.665  0.422  0.00
Na  0.832  0.665  0.078  0.00
Na  0.168  0.335  0.578  0.00
Na  0.168  0.335  0.922  0.00
Mn  0.816  0.632  0.750  3.75
Mn  0.184  0.368  0.250  3.75
Br  0.942  0.885  0.882  -0.02
Br  0.942  0.885  0.618  -0.02
Br  0.312  0.623  0.388  -0.02
Br  0.312  0.623  0.112  -0.02
Br  0.698  0.396  0.250  0.07
Br  0.302  0.604  0.750  0.07
Br  0.688  0.377  0.612  -0.02
Br  0.688  0.377  0.888  -0.02
Br  0.058  0.115  0.118  -0.02
Br  0.058  0.115  0.382  -0.02

Summary:
ρ, g/cm³: 3.2
Formation energy (no corrections), eV per atom: -1.074
Energy above the lowest structure with this stoichiometry, meV per atom: 0
Space group: No. 63

---

Record 6
DFT (GGA-PBE) results for a relaxed structure of LiAsCl2.

a b c (Å): 3.387 7.453 3.960
angles (deg): 90.00 90.00 90.00
Last column: magnetic moment on the atom in μB.
Fractional positions:
As  0.000  0.500  0.500  0.32
Cl  0.000  0.000  0.000  0.02
Cl  0.500  0.500  0.000  0.04
Li  0.500  0.000  0.500  0.00

Summary:
ρ, g/cm³: 2.5
Formation energy (no corrections), eV per atom: -0.529
Energy above the lowest structure with this stoichiometry, meV per atom: 351
Space group: No. 47